A plane-wave DFT calculation with PBE-GGA was carried out for a relaxed BC crystal.

Results
Final energy in eV per atom: -7.492
Energy relative to the elements in eV per atom: 0.459
Excess energy over the best structure of this formula in the dataset in meV per atom: 308

```
data_BC
_chemical_formula_sum 'B6 C6'
_cell_length_a 4.285
_cell_length_b 4.549
_cell_length_c 4.823
_cell_angle_alpha 74.74
_cell_angle_beta 89.32
_cell_angle_gamma 61.91
_symmetry_space_group_name_H-M 'P 1'
_symmetry_Int_Tables_number 1
_symmetry_space_group_name_Hall 'P 1'
loop_
_atom_site_label
_atom_site_fract_x
_atom_site_fract_y
_atom_site_fract_z
_atom_site_occupancy
B1 0.015 0.214 0.222 1
B2 0.016 0.164 0.653 1
B3 0.275 0.220 0.937 1
B4 0.725 0.780 0.063 1
B5 0.984 0.836 0.347 1
B6 0.985 0.786 0.778 1
C1 0.331 0.178 0.473 1
C2 0.377 0.502 0.384 1
C3 0.429 0.477 0.874 1
C4 0.571 0.523 0.126 1
C5 0.623 0.498 0.616 1
C6 0.669 0.822 0.527 1
```



A plane-wave DFT calculation with PBE-GGA was carried out for a relaxed B3C crystal.

Results
Final energy in eV per atom: -6.949
Energy relative to the elements in eV per atom: 0.365
Excess energy over the best structure of this formula in the dataset in meV per atom: 125

```
data_B3C
_chemical_formula_sum 'B6 C2'
_cell_length_a 4.012
_cell_length_b 2.710
_cell_length_c 5.686
_cell_angle_alpha 90.00
_cell_angle_beta 100.61
_cell_angle_gamma 90.00
_symmetry_space_group_name_H-M 'P 1'
_symmetry_Int_Tables_number 1
_symmetry_space_group_name_Hall 'P 1'
loop_
_atom_site_label
_atom_site_fract_x
_atom_site_fract_y
_atom_site_fract_z
_atom_site_occupancy
B1 0.096 0.000 0.156 1
B2 0.275 0.500 0.726 1
B3 0.333 0.500 0.070 1
B4 0.667 0.500 0.930 1
B5 0.725 0.500 0.274 1
B6 0.904 0.000 0.844 1
C1 0.107 0.000 0.625 1
C2 0.893 0.000 0.375 1
```



A plane-wave DFT calculation with PBE-GGA was carried out for a relaxed BC crystal.

Results
Final energy in eV per atom: -7.549
Energy relative to the elements in eV per atom: 0.401
Excess energy over the best structure of this formula in the dataset in meV per atom: 251

```
data_BC
_chemical_formula_sum 'B6 C6'
_cell_length_a 2.561
_cell_length_b 2.561
_cell_length_c 14.083
_cell_angle_alpha 90.00
_cell_angle_beta 90.00
_cell_angle_gamma 120.00
_symmetry_space_group_name_H-M 'P 1'
_symmetry_Int_Tables_number 1
_symmetry_space_group_name_Hall 'P 1'
loop_
_atom_site_label
_atom_site_fract_x
_atom_site_fract_y
_atom_site_fract_z
_atom_site_occupancy
B1 0.000 0.000 0.060 1
B2 0.000 0.000 0.940 1
B3 0.333 0.667 0.136 1
B4 0.333 0.667 0.707 1
B5 0.667 0.333 0.293 1
B6 0.667 0.333 0.864 1
C1 0.000 0.000 0.442 1
C2 0.000 0.000 0.558 1
C3 0.333 0.667 0.245 1
C4 0.333 0.667 0.590 1
C5 0.667 0.333 0.410 1
C6 0.667 0.333 0.755 1
```



A plane-wave DFT calculation with PBE-GGA was carried out for a relaxed B7C5 crystal.

Results
Final energy in eV per atom: -7.300
Energy relative to the elements in eV per atom: 0.439
Excess energy over the best structure of this formula in the dataset in meV per atom: 274

```
data_B7C5
_chemical_formula_sum 'B7 C5'
_cell_length_a 4.531
_cell_length_b 2.637
_cell_length_c 8.118
_cell_angle_alpha 90.00
_cell_angle_beta 103.05
_cell_angle_gamma 90.00
_symmetry_space_group_name_H-M 'P 1'
_symmetry_Int_Tables_number 1
_symmetry_space_group_name_Hall 'P 1'
loop_
_atom_site_label
_atom_site_fract_x
_atom_site_fract_y
_atom_site_fract_z
_atom_site_occupancy
B1 0.000 0.000 0.000 1
B2 0.003 0.500 0.732 1
B3 0.370 0.500 0.870 1
B4 0.431 0.500 0.403 1
B5 0.597 0.000 0.262 1
B6 0.641 0.000 0.852 1
B7 0.686 0.000 0.497 1
C1 0.095 0.500 0.389 1
C2 0.184 0.500 0.038 1
C3 0.439 0.500 0.191 1
C4 0.826 0.000 0.698 1
C5 0.940 0.000 0.372 1
```



A plane-wave DFT calculation with PBE-GGA was carried out for a relaxed BC crystal.

Results
Final energy in eV per atom: -7.621
Energy relative to the elements in eV per atom: 0.330
Excess energy over the best structure of this formula in the dataset in meV per atom: 179

```
data_BC
_chemical_formula_sum 'B6 C6'
_cell_length_a 4.048
_cell_length_b 2.590
_cell_length_c 8.151
_cell_angle_alpha 90.00
_cell_angle_beta 91.03
_cell_angle_gamma 90.00
_symmetry_space_group_name_H-M 'P 1'
_symmetry_Int_Tables_number 1
_symmetry_space_group_name_Hall 'P 1'
loop_
_atom_site_label
_atom_site_fract_x
_atom_site_fract_y
_atom_site_fract_z
_atom_site_occupancy
B1 0.000 0.000 0.000 1
B2 0.012 0.000 0.265 1
B3 0.116 0.000 0.650 1
B4 0.425 0.000 0.502 1
B5 0.557 0.500 0.132 1
B6 0.818 0.500 0.630 1
C1 0.288 0.000 0.133 1
C2 0.406 0.000 0.770 1
C3 0.584 0.500 0.808 1
C4 0.605 0.500 0.457 1
C5 0.793 0.500 0.963 1
C6 0.801 0.500 0.304 1
```



A plane-wave DFT calculation with PBE-GGA was carried out for a relaxed BC crystal.

Results
Final energy in eV per atom: -7.561
Energy relative to the elements in eV per atom: 0.389
Excess energy over the best structure of this formula in the dataset in meV per atom: 238

```
data_BC
_chemical_formula_sum 'B6 C6'
_cell_length_a 2.497
_cell_length_b 4.161
_cell_length_c 7.805
_cell_angle_alpha 90.00
_cell_angle_beta 90.00
_cell_angle_gamma 90.00
_symmetry_space_group_name_H-M 'P 1'
_symmetry_Int_Tables_number 1
_symmetry_space_group_name_Hall 'P 1'
loop_
_atom_site_label
_atom_site_fract_x
_atom_site_fract_y
_atom_site_fract_z
_atom_site_occupancy
B1 0.000 0.080 0.000 1
B2 0.000 0.920 0.500 1
B3 0.500 0.346 0.313 1
B4 0.500 0.394 0.023 1
B5 0.500 0.606 0.523 1
B6 0.500 0.654 0.813 1
C1 0.000 0.105 0.326 1
C2 0.000 0.137 0.676 1
C3 0.000 0.863 0.176 1
C4 0.000 0.895 0.826 1
C5 0.500 0.342 0.669 1
C6 0.500 0.658 0.169 1
```



A plane-wave DFT calculation with PBE-GGA was carried out for a relaxed B3C2 crystal.

Results
Final energy in eV per atom: -7.290
Energy relative to the elements in eV per atom: 0.406
Excess energy over the best structure of this formula in the dataset in meV per atom: 195

```
data_B3C2
_chemical_formula_sum 'B6 C4'
_cell_length_a 6.571
_cell_length_b 6.571
_cell_length_c 4.421
_cell_angle_alpha 105.93
_cell_angle_beta 105.93
_cell_angle_gamma 22.91
_symmetry_space_group_name_H-M 'P 1'
_symmetry_Int_Tables_number 1
_symmetry_space_group_name_Hall 'P 1'
loop_
_atom_site_label
_atom_site_fract_x
_atom_site_fract_y
_atom_site_fract_z
_atom_site_occupancy
B1 0.000 0.000 0.000 1
B2 0.255 0.255 0.009 1
B3 0.433 0.433 0.563 1
B4 0.521 0.521 0.312 1
B5 0.610 0.610 0.701 1
B6 0.785 0.785 0.767 1
C1 0.113 0.113 0.900 1
C2 0.193 0.193 0.253 1
C3 0.677 0.677 0.419 1
C4 0.897 0.897 0.689 1
```



A plane-wave DFT calculation with PBE-GGA was carried out for a relaxed B7C5 crystal.

Results
Final energy in eV per atom: -7.340
Energy relative to the elements in eV per atom: 0.398
Excess energy over the best structure of this formula in the dataset in meV per atom: 234

```
data_B7C5
_chemical_formula_sum 'B7 C5'
_cell_length_a 6.960
_cell_length_b 6.960
_cell_length_c 3.469
_cell_angle_alpha 90.66
_cell_angle_beta 90.66
_cell_angle_gamma 151.15
_symmetry_space_group_name_H-M 'P 1'
_symmetry_Int_Tables_number 1
_symmetry_space_group_name_Hall 'P 1'
loop_
_atom_site_label
_atom_site_fract_x
_atom_site_fract_y
_atom_site_fract_z
_atom_site_occupancy
B1 0.000 0.000 0.000 1
B2 0.165 0.355 0.769 1
B3 0.355 0.160 0.262 1
B4 0.496 0.504 0.500 1
B5 0.645 0.835 0.231 1
B6 0.812 0.188 0.500 1
B7 0.840 0.645 0.738 1
C1 0.001 0.514 0.243 1
C2 0.179 0.821 0.500 1
C3 0.313 0.687 0.000 1
C4 0.486 0.999 0.757 1
C5 0.678 0.322 0.000 1
```